Material: La2MgGe3Pd4
Method: DFT, PBE-GGA
State: relaxed

Results
Fermi-level density of states	4.15	states/eV/f.u.
energy relative to the elements	-0.842	eV/atom

Lattice parameters (Å, degrees): 4.3851 4.3851 10.4396 90.00 90.00 90.00
Atoms (fractional coordinates):
La: 0.0000 0.5000 0.2430
La: 0.5000 0.0000 0.7570
Mg: 0.0000 0.0000 0.5000
Ge: 0.0000 0.5000 0.8734
Ge: 0.5000 0.0000 0.1266
Ge: 0.5000 0.5000 0.5000
Pd: 0.0000 0.0000 0.0000
Pd: 0.0000 0.5000 0.6349
Pd: 0.5000 0.0000 0.3651
Pd: 0.5000 0.5000 0.0000